Entry from the Alexandria database: crystalline PuTaMnO6 at its relaxed geometry (GGA+U).

abc: 5.4951 5.4951 9.1565
angles: 90.00 90.00 120.00
Last column: nearest neighbours and their distance in Å.
Sites, in units of the cell vectors:
Pu 0.3333 0.6667 0.2500  6 O 2.15
Pu 0.6667 0.3333 0.7500  6 O 2.15
Ta 0.6667 0.3333 0.2500  6 O 2.01
Ta 0.3333 0.6667 0.7500  6 O 2.01
Mn 0.0000 0.0000 0.0000  6 O 2.29
Mn 0.0000 0.0000 0.5000  6 O 2.29
O 0.6587 0.6401 0.1340  1 Ta 2.01, 1 Pu 2.15
O 0.9814 0.3413 0.1340  1 Ta 2.01, 1 Pu 2.15
O 0.3413 0.9814 0.6340  1 Ta 2.01, 1 Pu 2.15
O 0.0186 0.6587 0.8660  1 Ta 2.01, 1 Pu 2.15
O 0.3599 0.3413 0.3660  1 Ta 2.01, 1 Pu 2.15
O 0.9814 0.6401 0.3660  1 Ta 2.01, 1 Pu 2.15
O 0.6401 0.9814 0.8660  1 Ta 2.01, 1 Pu 2.15
O 0.6587 0.0186 0.3660  1 Ta 2.01, 1 Pu 2.15
O 0.0186 0.3599 0.6340  1 Ta 2.01, 1 Pu 2.15
O 0.3599 0.0186 0.1340  1 Ta 2.01, 1 Pu 2.15
O 0.6401 0.6587 0.6340  1 Ta 2.01, 1 Pu 2.15
O 0.3413 0.3599 0.8660  1 Ta 2.01, 1 Pu 2.15

Output
VASP energy, eV/atom: -9.532
Calculated volume, Å³/cell: 239
ρ, g cm⁻³: 7.99
Total magnetic moment, μB/atom: 0.89
SG: P-31c